NaDyCd2Au4 after structural relaxation, computed with GGA-PBE.

```
data_NaDyCd2Au4
_space_group_name_H-M_alt 'R -3 m'
_space_group_IT_number 166
_space_group_name_Hall '-R 3 2"'
_cell_length_a 4.8792
_cell_length_b 4.8792
_cell_length_c 24.2295
_cell_angle_alpha 90.00
_cell_angle_beta 90.00
_cell_angle_gamma 120.00
loop_
_atom_site_label
_atom_site_type_symbol
_atom_site_fract_x
_atom_site_fract_y
_atom_site_fract_z
_atom_site_occupancy
Na1 Na 0.0000 0.0000 0.0000 1
Dy1 Dy 0.0000 0.0000 0.5000 1
Cd1 Cd 0.0000 0.0000 0.2533 1
Au1 Au 0.0000 0.0000 0.1235 1
Au2 Au 0.0000 0.0000 0.3768 1
```

Properties
volume	499.5	Å³/cell
E_tot	-3.06	eV/atom